PBE-GGA TcHRu, optimized geometry; polymorph energy (0 for the lowest one) = 0 meV per atom; crystal system = orthorhombic; N(E_F) = 1.4 states/eV/f.u.; volume = 121.3 Å³/cell
1.0
0.0000 4.8750 2.8165
4.4179 0.0000 2.8165
4.4179 4.8750 0.0000
Tc H Ru
4 4 4
Direct
0.0392 0.9608 0.7952
0.0452 0.4548 0.2892
0.4548 0.0452 0.2108
0.9608 0.0392 0.2048
0.2500 0.7477 0.2521
0.4999 0.9979 0.5023
0.7477 0.2500 0.7501
0.9979 0.4999 0.0000
0.4597 0.5406 0.7071
0.5406 0.4597 0.2925
0.5429 0.9575 0.7903
0.9575 0.5429 0.7094